(1)
# SiCNF2, relaxed, DFT GGA-PBE
# **Excess energy over the best structure of this formula in the dataset**: 0.0 kJ per mole of atoms
# **Total magnetization**: 0.10 μB/cell
# **Total DFT energy (no corrections)**: -0.4013 Ry per atom
data_SiCNF2
_cell_length_a 4.679
_cell_length_b 4.679
_cell_length_c 2.465
_cell_angle_alpha 90.00
_cell_angle_beta 90.00
_cell_angle_gamma 90.00
_symmetry_space_group_name_H-M 'P 4/m m m'
_symmetry_Int_Tables_number 123
_symmetry_space_group_name_Hall '-P 4 2'
loop_
_atom_site_label
_atom_site_type_symbol
_atom_site_fract_x
_atom_site_fract_y
_atom_site_fract_z
Si1 Si 0.000 0.000 0.000
C1 C 0.500 0.500 0.500
N1 N 0.500 0.500 0.000
F1 F 0.000 0.500 0.500

***

(2)
# Li4Pu3SbO12, relaxed, DFT GGA-PBE
# **Total magnetization**: 21.00 μB/cell
# **Total DFT energy (no corrections)**: -0.5769 Ry per atom
data_Li4Pu3SbO12
_cell_length_a 11.0694
_cell_length_b 11.0694
_cell_length_c 7.8179
_cell_angle_alpha 90.00
_cell_angle_beta 90.00
_cell_angle_gamma 120.00
_symmetry_space_group_name_H-M 'R 3 2'
_symmetry_Int_Tables_number 155
_symmetry_space_group_name_Hall 'R 3 2"'
loop_
_atom_site_label
_atom_site_type_symbol
_atom_site_fract_x
_atom_site_fract_y
_atom_site_fract_z
Li1 Li 0.0000 0.0000 0.0000
Li2 Li 0.0000 0.4385 0.0000
Pu1 Pu 0.0000 0.5565 0.5000
Sb1 Sb 0.0000 0.0000 0.5000
O1 O 0.0000 0.6073 0.0000
O2 O 0.0000 0.8354 0.0000
O3 O 0.0546 0.2053 0.6762

***

(3)
# La2Al3Ga, relaxed, DFT GGA-PBE
# **Calculated formation energy**: -532 meV/atom
# **Total magnetization**: 0.00 μB/cell
# **Total DFT energy (no corrections)**: -0.3345 Ry per atom
data_La2Al3Ga
_cell_length_a 8.847
_cell_length_b 8.856
_cell_length_c 15.361
_cell_angle_alpha 90.00
_cell_angle_beta 90.00
_cell_angle_gamma 90.00
_symmetry_space_group_name_H-M 'F m m m'
_symmetry_Int_Tables_number 69
_symmetry_space_group_name_Hall '-F 2 2'
loop_
_atom_site_label
_atom_site_type_symbol
_atom_site_fract_x
_atom_site_fract_y
_atom_site_fract_z
La1 La 0.000 0.249 0.000
La2 La 0.250 0.250 0.250
Al1 Al 0.000 0.000 0.332
Al2 Al 0.248 0.000 0.084
Ga1 Ga 0.000 0.000 0.167

***

(4)
# Tb2Y3PuS6, relaxed, DFT GGA-PBE
# **Total magnetization**: 11.81 μB/cell
# **Total DFT energy (no corrections)**: -0.5610 Ry per atom
data_Tb2Y3PuS6
_cell_length_a 17.124
_cell_length_b 3.911
_cell_length_c 7.880
_cell_angle_alpha 90.00
_cell_angle_beta 103.36
_cell_angle_gamma 90.00
_symmetry_space_group_name_H-M 'C 1 2/m 1'
_symmetry_Int_Tables_number 12
loop_
_symmetry_equiv_pos_as_xyz
'x,y,z'
'-x,-y,-z'
'-x,y,-z'
'x,-y,z'
'x+1/2,y+1/2,z'
'-x+1/2,-y+1/2,-z'
'-x+1/2,y+1/2,-z'
'x+1/2,-y+1/2,z'
loop_
_atom_site_label
_atom_site_type_symbol
_atom_site_fract_x
_atom_site_fract_y
_atom_site_fract_z
Tb1 Tb 0.164 0.000 0.329
Y1 Y 0.000 0.500 0.500
Y2 Y 0.166 0.000 0.836
Pu1 Pu 0.000 0.500 0.000
S1 S 0.001 0.000 0.748
S2 S 0.167 0.500 0.584
S3 S 0.168 0.500 0.084

***

(5)
# CoMoSe, relaxed, DFT GGA-PBE
# **Excess energy over the best structure of this formula in the dataset**: 9.4 kJ per mole of atoms
# **Total magnetization**: 0.80 μB/cell
# **Total DFT energy (no corrections)**: -0.5055 Ry per atom
data_CoMoSe
_cell_length_a 3.9542
_cell_length_b 3.9542
_cell_length_c 3.1345
_cell_angle_alpha 90.00
_cell_angle_beta 90.00
_cell_angle_gamma 120.00
_symmetry_space_group_name_H-M 'P -6 m 2'
_symmetry_Int_Tables_number 187
_symmetry_space_group_name_Hall 'P -6 2'
loop_
_atom_site_label
_atom_site_type_symbol
_atom_site_fract_x
_atom_site_fract_y
_atom_site_fract_z
Co1 Co 0.0000 0.0000 0.0000
Mo1 Mo 0.3333 0.6667 0.5000
Se1 Se 0.6667 0.3333 0.0000

***

(6)
# RuC, relaxed, DFT GGA-PBE
# **Excess energy over the best structure of this formula in the dataset**: 56.8 kJ per mole of atoms
# **Calculated formation energy**: 954 meV/atom
# **Total magnetization**: 0.00 μB/cell
# **Total DFT energy (no corrections)**: -0.6097 Ry per atom
data_RuC
_cell_length_a 2.780
_cell_length_b 3.193
_cell_length_c 10.195
_cell_angle_alpha 90.00
_cell_angle_beta 90.00
_cell_angle_gamma 90.00
_symmetry_space_group_name_H-M 'I m m m'
_symmetry_Int_Tables_number 71
_symmetry_space_group_name_Hall '-I 2 2'
loop_
_atom_site_label
_atom_site_type_symbol
_atom_site_fract_x
_atom_site_fract_y
_atom_site_fract_z
Ru1 Ru 0.000 0.000 0.157
C1 C 0.000 0.000 0.359

***

(7)
# GeClF2, relaxed, DFT GGA-PBE
# **Excess energy over the best structure of this formula in the dataset**: 101.7 kJ per mole of atoms
# **Total magnetization**: 4.00 μB/cell
# **Total DFT energy (no corrections)**: -0.2421 Ry per atom
data_GeClF2
_cell_length_a 6.145
_cell_length_b 6.145
_cell_length_c 6.145
_cell_angle_alpha 90.00
_cell_angle_beta 90.00
_cell_angle_gamma 90.00
_symmetry_space_group_name_H-M 'F m -3 m'
_symmetry_Int_Tables_number 225
_symmetry_space_group_name_Hall '-F 4 2 3'
loop_
_atom_site_label
_atom_site_type_symbol
_atom_site_fract_x
_atom_site_fract_y
_atom_site_fract_z
Ge1 Ge 0.000 0.000 0.000
Cl1 Cl 0.000 0.000 0.500
F1 F 0.250 0.250 0.250

***

(8)
# PuUGeIr, relaxed, DFT GGA-PBE
# **Excess energy over the best structure of this formula in the dataset**: 0.0 kJ per mole of atoms
# **Calculated formation energy**: -306 meV/atom
# **Total magnetization**: 34.21 μB/cell
# **Total DFT energy (no corrections)**: -0.7409 Ry per atom
data_PuUGeIr
_cell_length_a 6.779
_cell_length_b 6.779
_cell_length_c 6.779
_cell_angle_alpha 90.00
_cell_angle_beta 90.00
_cell_angle_gamma 90.00
_symmetry_space_group_name_H-M 'F -4 3 m'
_symmetry_Int_Tables_number 216
_symmetry_space_group_name_Hall 'F -4 2 3'
loop_
_atom_site_label
_atom_site_type_symbol
_atom_site_fract_x
_atom_site_fract_y
_atom_site_fract_z
Pu1 Pu 0.000 0.000 0.000
U1 U 0.250 0.250 0.750
Ge1 Ge 0.250 0.250 0.250
Ir1 Ir 0.000 0.000 0.500